# PBE-GGA Si2PtO, optimized geometry
data_Si2PtO
_chemical_formula_sum 'Si2 Pt1 O1'
_cell_length_a 4.2067
_cell_length_b 4.2067
_cell_length_c 4.2067
_cell_angle_alpha 60.00
_cell_angle_beta 60.00
_cell_angle_gamma 60.00
_space_group_name_H-M_alt 'P 1'
_space_group_IT_number 1
_space_group_name_Hall 'P 1'
loop_
_atom_site_label
_atom_site_fract_x
_atom_site_fract_y
_atom_site_fract_z
Si1 0.2500 0.2500 0.2500
Si2 0.7500 0.7500 0.7500
O1 0.0000 0.0000 0.0000
Pt1 0.5000 0.5000 0.5000
# D(E_F) in states/eV/cell: 1.6
# Formation energy from raw total energies in eV per atom: 0.004
# Raw total energy in eV/f.u.: -21.829
# Calculated volume in Å³/cell: 53
# Symmetry: No. 225